Entry 1:
Computed, not measured: an optimized crystal structure of NpNi4Mo at the PBE level of DFT.

Computed properties:
- space-group type = F-43m, No. 216
- E (eV/atom) = -7.78
- energy of formation (eV/atom) = 0.036
- crystal system = cubic

The structure in CIF format:
```
data_NpNi4Mo
_chemical_formula_sum 'Np1 Ni4 Mo1'
_cell_length_a 4.8611
_cell_length_b 4.8611
_cell_length_c 4.8611
_cell_angle_alpha 60.00
_cell_angle_beta 60.00
_cell_angle_gamma 60.00
_space_group_name_H-M_alt 'P 1'
_space_group_IT_number 1
_space_group_name_Hall 'P 1'
loop_
_atom_site_label
_atom_site_fract_x
_atom_site_fract_y
_atom_site_fract_z
Np1 0.0000 0.0000 0.0000
Ni1 0.1273 0.6242 0.6242
Ni2 0.6242 0.1273 0.6242
Ni3 0.6242 0.6242 0.1273
Ni4 0.6242 0.6242 0.6242
Mo1 0.2500 0.2500 0.2500
```


Entry 2:
Computed, not measured: an optimized crystal structure of MnBiH2 at the PBE level of DFT.

Computed properties:
- space-group type = Fm-3m, No. 225
- E (eV/atom) = -3.73
- energy relative to the lowest polymorph listed for this composition (meV/atom) = 896
- crystal system = cubic

The structure in CIF format:
```
data_MnBiH2
_chemical_formula_sum 'Mn1 Bi1 H2'
_cell_length_a 4.0116
_cell_length_b 4.0116
_cell_length_c 4.0116
_cell_angle_alpha 60.00
_cell_angle_beta 60.00
_cell_angle_gamma 60.00
_space_group_name_H-M_alt 'P 1'
_space_group_IT_number 1
_space_group_name_Hall 'P 1'
loop_
_atom_site_label
_atom_site_fract_x
_atom_site_fract_y
_atom_site_fract_z
Mn1 0.0000 0.0000 0.0000
Bi1 0.5000 0.5000 0.5000
H1 0.2500 0.2500 0.2500
H2 0.7500 0.7500 0.7500
```


| no. | DOS(E_F) (states/eV/atom) |
| --- | --- |
| 1 | 2.10 |
| 2 | 1.31 |